Computed, not measured: a relaxed Co3SbPb crystal at the PBE level of DFT.

E_form (uncorrected): 0.95 eV/atom
SG: Pm-3m (221)
energy relative to the lowest polymorph listed for this composition: 0 meV/atom

Lattice parameters (Å, degrees): 4.7301 4.7301 4.7301 90.00 90.00 90.00
With the nearest neighbours (Å) after each atom.
Fractional positions:
Co  0.0000  0.0000  0.5000  2 Sb 2.37
Co  0.0000  0.5000  0.0000  2 Sb 2.37
Co  0.5000  0.0000  0.0000  2 Sb 2.37
Sb  0.0000  0.0000  0.0000  6 Co 2.37
Pb  0.5000  0.5000  0.5000  12 Co 3.34

Computed, not measured: a relaxed Co2SbPb crystal at the PBE level of DFT.

E_form (uncorrected): 0.41 eV/atom
SG: R-3m (166)

Lattice parameters (Å, degrees): 7.9874 7.9874 7.9874 23.66 23.66 23.66
With the nearest neighbours (Å) after each atom.
Fractional positions:
Co  0.2438  0.2438  0.2438  3 Sb 2.61, 3 Pb 2.81
Co  0.7562  0.7562  0.7562  3 Sb 2.61, 3 Pb 2.81
Sb  0.5000  0.5000  0.5000  6 Co 2.61
Pb  0.0000  0.0000  0.0000  6 Co 2.81

Computed, not measured: a relaxed Co3SbPb crystal at the PBE level of DFT.

E_form (uncorrected): 1.44 eV/atom
SG: Pm-3m (221)
energy relative to the lowest polymorph listed for this composition: 494 meV/atom

Lattice parameters (Å, degrees): 4.7838 4.7838 4.7838 90.00 90.00 90.00
With the nearest neighbours (Å) after each atom.
Fractional positions:
Co  0.0000  0.0000  0.5000  2 Pb 2.39
Co  0.0000  0.5000  0.0000  2 Pb 2.39
Co  0.5000  0.0000  0.0000  2 Pb 2.39
Sb  0.5000  0.5000  0.5000  12 Co 3.38
Pb  0.0000  0.0000  0.0000  6 Co 2.39

Computed, not measured: a relaxed Co2SbPb crystal at the PBE level of DFT.

E_form (uncorrected): 0.82 eV/atom
SG: F-43m (216)

Lattice parameters (Å, degrees): 4.7756 4.7756 4.7756 60.00 60.00 60.00
With the nearest neighbours (Å) after each atom.
Fractional positions:
Co  0.0000  0.0000  0.0000  4 Co 2.92, 4 Sb 2.92
Co  0.2500  0.2500  0.2500  4 Pb 2.92, 4 Co 2.92
Sb  0.7500  0.7500  0.7500  4 Pb 2.92, 4 Co 2.92
Pb  0.5000  0.5000  0.5000  4 Sb 2.92, 4 Co 2.92

Computed, not measured: a relaxed Co2SbPb crystal at the PBE level of DFT.

E_form (uncorrected): 0.53 eV/atom
SG: I-4m2 (119)

Lattice parameters (Å, degrees): 5.6266 5.6266 5.6266 141.02 141.02 56.31
With the nearest neighbours (Å) after each atom.
Fractional positions:
Co  0.0000  0.0000  0.0000  4 Sb 2.65
Co  0.7500  0.2500  0.5000  4 Pb 2.65
Sb  0.5000  0.5000  0.0000  4 Co 2.65
Pb  0.2500  0.7500  0.5000  4 Co 2.65

Computed, not measured: a relaxed Co2SbPb crystal at the PBE level of DFT.

E_form (uncorrected): 0.33 eV/atom
SG: P2/m (10)

Lattice parameters (Å, degrees): 3.2367 3.1840 7.0378 90.00 100.85 90.00
With the nearest neighbours (Å) after each atom.
Fractional positions:
Co  0.0726  0.0000  0.1899  4 Sb 2.61-2.63, 1 Co 2.63, 2 Pb 2.75
Co  0.9274  0.0000  0.8101  4 Sb 2.61-2.63, 1 Co 2.63, 2 Pb 2.75
Sb  0.5000  0.5000  0.0000  8 Co 2.61-2.63
Pb  0.0000  0.5000  0.5000  4 Co 2.75

Computed, not measured: a relaxed Co2SbPb crystal at the PBE level of DFT.

E_form (uncorrected): 0.24 eV/atom
SG: P4mm (99)

Lattice parameters (Å, degrees): 3.1708 3.1708 7.9363 90.00 90.00 90.00
With the nearest neighbours (Å) after each atom.
Fractional positions:
Co  0.0000  0.0000  0.0000  4 Co 2.48, 4 Sb 2.76
Co  0.5000  0.5000  0.1326  4 Co 2.48, 1 Sb 2.67
Sb  0.5000  0.5000  0.7967  5 Co 2.67-2.76
Pb  0.0000  0.0000  0.3770  5 Co 2.96-2.99, 4 Pb 3.17

Computed, not measured: a relaxed Co2SbPb crystal at the PBE level of DFT.

E_form (uncorrected): 0.44 eV/atom
SG: C2/m (12)

Lattice parameters (Å, degrees): 4.6335 4.6335 3.2679 90.35 90.35 90.06
With the nearest neighbours (Å) after each atom.
Fractional positions:
Co  0.0000  0.5000  0.0000  4 Pb 2.83-2.84, 4 Sb 2.83-2.84
Co  0.5000  0.0000  0.0000  4 Pb 2.83-2.84, 4 Sb 2.83-2.84
Sb  0.0000  0.0000  0.5000  8 Co 2.83-2.84
Pb  0.5000  0.5000  0.5000  8 Co 2.83-2.84

Computed, not measured: a relaxed Co2SbPb crystal at the PBE level of DFT.

E_form (uncorrected): 0.37 eV/atom
SG: P4/mmm (123)

Lattice parameters (Å, degrees): 3.2128 3.2128 6.8583 90.00 90.00 90.00
With the nearest neighbours (Å) after each atom.
Fractional positions:
Co  0.0000  0.0000  0.1988  4 Sb 2.65, 1 Co 2.73
Co  0.0000  0.0000  0.8012  4 Sb 2.65, 1 Co 2.73
Sb  0.5000  0.5000  0.0000  8 Co 2.65
Pb  0.5000  0.5000  0.5000  8 Co 3.07, 4 Pb 3.21, 2 Sb 3.43

Computed, not measured: a relaxed CoSb3Pb crystal at the PBE level of DFT.

E_form (uncorrected): 1.61 eV/atom
SG: Pm-3m (221)
energy relative to the lowest polymorph listed for this composition: 1323 meV/atom

Lattice parameters (Å, degrees): 5.7375 5.7375 5.7375 90.00 90.00 90.00
With the nearest neighbours (Å) after each atom.
Fractional positions:
Co  0.0000  0.0000  0.0000  12 Sb 4.06
Sb  0.0000  0.5000  0.5000  2 Pb 2.87
Sb  0.5000  0.0000  0.5000  2 Pb 2.87
Sb  0.5000  0.5000  0.0000  2 Pb 2.87
Pb  0.5000  0.5000  0.5000  6 Sb 2.87

Computed, not measured: a relaxed Co2SbPb crystal at the PBE level of DFT.

E_form (uncorrected): 0.30 eV/atom
SG: Imm2 (44)

Lattice parameters (Å, degrees): 6.6606 6.6606 6.6606 153.17 146.06 43.78
With the nearest neighbours (Å) after each atom.
Fractional positions:
Co  0.0000  0.0000  0.0000  4 Sb 2.54, 2 Co 2.68
Co  0.8230  0.3230  0.5000  2 Sb 2.55, 2 Co 2.68
Sb  0.4562  0.4562  0.0000  6 Co 2.54-2.55
Pb  0.2015  0.7015  0.5000  6 Co 2.90-2.93, 2 Pb 3.09

Computed, not measured: a relaxed Co2SbPb crystal at the PBE level of DFT.

E_form (uncorrected): 0.62 eV/atom
SG: I-42d (122)

Lattice parameters (Å, degrees): 5.8628 5.8628 5.8628 106.96 106.96 114.62
With the nearest neighbours (Å) after each atom.
Fractional positions:
Co  0.0957  0.6250  0.9707  2 Sb 2.46, 2 Pb 2.73
Co  0.3750  0.3457  0.4707  2 Sb 2.46, 2 Pb 2.73
Co  0.6543  0.1250  0.0293  2 Sb 2.46, 2 Pb 2.73
Co  0.8750  0.9043  0.5293  2 Sb 2.46, 2 Pb 2.73
Sb  0.0000  0.0000  0.0000  4 Co 2.46
Sb  0.7500  0.2500  0.5000  4 Co 2.46
Pb  0.2500  0.7500  0.5000  4 Co 2.73
Pb  0.5000  0.5000  0.0000  4 Co 2.73

How do the records compare in VASP energy? In the order shown, they have -4.8842; -5.0967; -4.3899; -4.6866; -4.9805; -5.1767; -5.2750; -5.0732; -5.1422; -3.0259; -5.2062; -4.8876 eV per atom.